No. 1
BeCdCo2 | PBE | optimized geometry

The structure in POSCAR format:
```
BeCdCo2
1.0
2.495 -4.075 0.000
2.495 4.075 0.000
-0.689 0.000 2.520
Be Cd Co
1 1 2
Direct
0.000 0.000 0.000 Be
0.500 0.500 0.000 Cd
0.000 0.500 0.500 Co
0.500 0.000 0.500 Co
```

## Properties
M_tot	2.8	μB/f.u.
DOS(E_F)	3.91	states/eV per cell
volume	51.2	Å³ per cell
energy of formation	0.388	eV/atom

---

No. 2
Rb3Hg2Te4 | PBE | optimized geometry

The structure in POSCAR format:
```
Rb3Hg2Te4
1.0
9.516 -2.501 0.000
9.516 2.501 0.000
-3.011 0.000 7.700
Rb Hg Te
3 2 4
Direct
0.000 0.000 0.000 Rb
0.137 0.137 0.567 Rb
0.863 0.863 0.433 Rb
0.335 0.335 0.033 Hg
0.665 0.665 0.967 Hg
0.209 0.209 0.177 Te
0.482 0.482 0.303 Te
0.518 0.518 0.697 Te
0.791 0.791 0.823 Te
```

## Properties
M_tot	0.0	μB/f.u.
DOS(E_F)	4.87	states/eV per cell
volume	366.5	Å³ per cell
final energy	-2.395	eV/atom

---

No. 3
PmHoGa6 | PBE | optimized geometry

The structure in POSCAR format:
```
PmHoGa6
1.0
6.322 0.000 0.000
-3.161 5.475 0.000
0.000 0.000 4.598
Pm Ho Ga
1 1 6
Direct
0.000 0.000 0.000 Pm
0.667 0.333 0.500 Ho
0.039 0.520 0.000 Ga
0.189 0.378 0.500 Ga
0.189 0.811 0.500 Ga
0.480 0.520 0.000 Ga
0.480 0.961 0.000 Ga
0.622 0.811 0.500 Ga
```

## Properties
M_tot	0.0	μB/f.u.
DOS(E_F)	2.87	states/eV per cell
volume	159.2	Å³ per cell
energy of formation	-0.545	eV/atom

---

No. 4
CaH4Pd4 | PBE | optimized geometry

The structure in POSCAR format:
```
CaH4Pd4
1.0
4.992 -1.952 0.000
4.992 1.952 0.000
-4.983 0.000 5.004
Ca H Pd
1 4 4
Direct
0.000 0.000 0.000 Ca
0.170 0.170 0.501 H
0.333 0.333 0.161 H
0.667 0.667 0.839 H
0.830 0.830 0.499 H
0.182 0.182 0.796 Pd
0.385 0.385 0.567 Pd
0.615 0.615 0.433 Pd
0.818 0.818 0.204 Pd
```

## Properties
M_tot	0.0	μB/f.u.
DOS(E_F)	1.22	states/eV per cell
volume	97.5	Å³ per cell
final energy	-4.378	eV/atom